Entry from OQMD via LeMat-Bulk: a geometry-optimized TbZrNO structure (PBE).

Output
SG: P4/mmm (123)
Energy relative to the lowest polymorph listed for this composition in eV/atom: 0.055
Calculated volume in A^3/atom: 13.277

```
TbZrNO
1.0
-4.395 1.485 1.157
-0.551 -3.824 2.817
1.749 2.387 3.582
Tb N Zr O
2 2 2 2
Direct
0.000 0.000 0.500
0.500 0.500 0.500
0.000 0.500 0.500
0.500 0.000 0.500
0.500 0.000 0.000
0.000 0.500 0.000
0.000 0.000 0.000
0.500 0.500 0.000
```